Compound: TiCo3H
Source: Alexandria
Functional: PBEsol
Structure: optimized geometry

Values from the calculation:
Magnetization   1.97 μB/f.u.
Energy relative to the lowest polymorph listed for this composition   2169 meV/atom
Space-group type   No. 221
Uncorrected energy   -5.131 eV per atom

```
data_TiCo3H
_chemical_formula_sum 'Ti1 Co3 H1'
_cell_length_a 4.205
_cell_length_b 4.205
_cell_length_c 4.205
_cell_angle_alpha 90.00
_cell_angle_beta 90.00
_cell_angle_gamma 90.00
_space_group_name_H-M_alt 'P 1'
_space_group_IT_number 1
loop_
_space_group_symop_operation_xyz
'x,y,z'
loop_
_atom_site_label
_atom_site_type_symbol
_atom_site_fract_x
_atom_site_fract_y
_atom_site_fract_z
Co1 Co 0.000 0.000 0.500
H1 H 0.500 0.500 0.500
Co2 Co 0.500 0.000 0.000
Co3 Co 0.000 0.500 0.000
Ti1 Ti 0.000 0.000 0.000
```

Compound: Ca2InAs
Source: Alexandria
Functional: PBEsol
Structure: optimized geometry

Values from the calculation:
Magnetization   0.00 μB/f.u.
Energy relative to the lowest polymorph listed for this composition   0 meV/atom
Space-group type   No. 123
Uncorrected energy   -3.842 eV per atom
ΔH_f (0 K)   -17.36 kcal/mol of atoms

```
data_Ca2InAs
_chemical_formula_sum 'Ca2 In1 As1'
_cell_length_a 3.803
_cell_length_b 3.803
_cell_length_c 6.852
_cell_angle_alpha 90.00
_cell_angle_beta 90.00
_cell_angle_gamma 90.00
_space_group_name_H-M_alt 'P 1'
_space_group_IT_number 1
loop_
_space_group_symop_operation_xyz
'x,y,z'
loop_
_atom_site_label
_atom_site_type_symbol
_atom_site_fract_x
_atom_site_fract_y
_atom_site_fract_z
Ca1 Ca 0.000 0.000 0.719
Ca2 Ca 0.000 0.000 0.281
As1 As 0.500 0.500 0.500
In1 In 0.500 0.500 0.000
```

Compound: Ba2Au
Source: Alexandria
Functional: PBEsol
Structure: optimized geometry

Values from the calculation:
Magnetization   0.00 μB/f.u.
Space-group type   No. 123
Uncorrected energy   -3.127 eV per atom
ΔH_f (0 K)   -8.90 kcal/mol of atoms

```
data_Ba2Au
_chemical_formula_sum 'Ba2 Au1'
_cell_length_a 3.892
_cell_length_b 5.556
_cell_length_c 5.556
_cell_angle_alpha 90.00
_cell_angle_beta 90.00
_cell_angle_gamma 90.00
_space_group_name_H-M_alt 'P 1'
_space_group_IT_number 1
loop_
_space_group_symop_operation_xyz
'x,y,z'
loop_
_atom_site_label
_atom_site_type_symbol
_atom_site_fract_x
_atom_site_fract_y
_atom_site_fract_z
Ba1 Ba 0.500 0.000 0.500
Ba2 Ba 0.500 0.500 0.000
Au1 Au 0.000 0.000 0.000
```

Compound: CrPRh2
Source: Alexandria
Functional: PBEsol
Structure: optimized geometry

Values from the calculation:
Magnetization   0.25 μB/f.u.
Space-group type   No. 160
Uncorrected energy   -8.258 eV per atom
ΔH_f (0 K)   -4.17 kcal/mol of atoms

```
data_CrPRh2
_chemical_formula_sum 'Cr1 P1 Rh2'
_cell_length_a 2.705
_cell_length_b 2.705
_cell_length_c 8.028
_cell_angle_alpha 80.30
_cell_angle_beta 80.30
_cell_angle_gamma 60.00
_space_group_name_H-M_alt 'P 1'
_space_group_IT_number 1
loop_
_space_group_symop_operation_xyz
'x,y,z'
loop_
_atom_site_label
_atom_site_type_symbol
_atom_site_fract_x
_atom_site_fract_y
_atom_site_fract_z
Cr1 Cr 0.506 0.506 0.482
Rh1 Rh 0.756 0.756 0.733
Rh2 Rh 0.991 0.991 0.027
P1 P 0.248 0.248 0.257
```

Compound: Ta3CdRu
Source: Alexandria
Functional: PBEsol
Structure: optimized geometry

Values from the calculation:
Magnetization   0.00 μB/f.u.
Space-group type   No. 221
Uncorrected energy   -8.733 eV per atom
ΔH_f (0 K)   24.70 kcal/mol of atoms

```
data_Ta3CdRu
_chemical_formula_sum 'Ta3 Cd1 Ru1'
_cell_length_a 4.745
_cell_length_b 4.745
_cell_length_c 4.745
_cell_angle_alpha 90.00
_cell_angle_beta 90.00
_cell_angle_gamma 90.00
_space_group_name_H-M_alt 'P 1'
_space_group_IT_number 1
loop_
_space_group_symop_operation_xyz
'x,y,z'
loop_
_atom_site_label
_atom_site_type_symbol
_atom_site_fract_x
_atom_site_fract_y
_atom_site_fract_z
Ta1 Ta 0.000 0.000 0.500
Ru1 Ru 0.000 0.000 0.000
Cd1 Cd 0.500 0.500 0.500
Ta2 Ta 0.500 0.000 0.000
Ta3 Ta 0.000 0.500 0.000
```

Compound: Lu3Cd
Source: Alexandria
Functional: PBEsol
Structure: optimized geometry

Values from the calculation:
Magnetization   0.00 μB/f.u.
Space-group type   No. 221
Uncorrected energy   -4.053 eV per atom
ΔH_f (0 K)   -2.30 kcal/mol of atoms

```
data_Lu3Cd
_chemical_formula_sum 'Lu3 Cd1'
_cell_length_a 4.657
_cell_length_b 4.657
_cell_length_c 4.657
_cell_angle_alpha 90.00
_cell_angle_beta 90.00
_cell_angle_gamma 90.00
_space_group_name_H-M_alt 'P 1'
_space_group_IT_number 1
loop_
_space_group_symop_operation_xyz
'x,y,z'
loop_
_atom_site_label
_atom_site_type_symbol
_atom_site_fract_x
_atom_site_fract_y
_atom_site_fract_z
Cd1 Cd 0.000 0.000 0.000
Lu1 Lu 0.500 0.000 0.500
Lu2 Lu 0.500 0.500 0.000
Lu3 Lu 0.000 0.500 0.500
```

Compound: CrNiPOs2
Source: Alexandria
Functional: PBEsol
Structure: optimized geometry

Values from the calculation:
Magnetization   0.00 μB/f.u.
Space-group type   No. 123
Uncorrected energy   -7.557 eV per atom
ΔH_f (0 K)   40.76 kcal/mol of atoms

```
data_CrNiPOs2
_chemical_formula_sum 'Cr1 Ni1 P1 Os2'
_cell_length_a 4.159
_cell_length_b 4.384
_cell_length_c 4.384
_cell_angle_alpha 90.00
_cell_angle_beta 90.00
_cell_angle_gamma 90.00
_space_group_name_H-M_alt 'P 1'
_space_group_IT_number 1
loop_
_space_group_symop_operation_xyz
'x,y,z'
loop_
_atom_site_label
_atom_site_type_symbol
_atom_site_fract_x
_atom_site_fract_y
_atom_site_fract_z
Cr1 Cr 0.000 0.000 0.000
P1 P 0.500 0.500 0.500
Os1 Os 0.000 0.000 0.500
Ni1 Ni 0.500 0.000 0.000
Os2 Os 0.000 0.500 0.000
```

Compound: Tc2Se
Source: Alexandria
Functional: PBEsol
Structure: optimized geometry

Values from the calculation:
Magnetization   0.00 μB/f.u.
Energy relative to the lowest polymorph listed for this composition   390 meV/atom
Space-group type   No. 140
Formation energy (no corrections)   0.51 eV per atom
Uncorrected energy   -8.287 eV per atom

```
data_Tc2Se
_chemical_formula_sum 'Tc4 Se2'
_cell_length_a 4.870
_cell_length_b 4.870
_cell_length_c 4.870
_cell_angle_alpha 108.14
_cell_angle_beta 110.14
_cell_angle_gamma 110.14
_space_group_name_H-M_alt 'P 1'
_space_group_IT_number 1
loop_
_space_group_symop_operation_xyz
'x,y,z'
loop_
_atom_site_label
_atom_site_type_symbol
_atom_site_fract_x
_atom_site_fract_y
_atom_site_fract_z
Tc1 Tc 0.500 0.157 0.343
Tc2 Tc 0.814 0.657 0.157
Se1 Se 0.000 0.250 0.250
Se2 Se 0.000 0.750 0.750
Tc3 Tc 0.500 0.843 0.657
Tc4 Tc 0.186 0.343 0.843
```